The following is a PBE+U calculation of a relaxed structure of BeFeIO2, from Alexandria.

Geometry as extended XYZ:
```
5
Lattice="3.7451 0.0000 0.0000 0.0000 3.7451 0.0000 0.0000 0.0000 6.2661" Properties=species:S:1:pos:R:3 pbc="T T T"
Be 0.0000 0.0000 0.0000
Fe 1.8726 1.8726 3.1331
I 1.8726 1.8726 0.0000
O 0.0000 1.8726 3.1331
O 1.8726 0.0000 3.1331
```

Calculated values
N(E_F): 1.798 states/eV/f.u.
Polymorph energy (0 for the lowest one): 1.374 kcal/mol of atoms
SG: No. 123
Magnetic moment: 5.01 μB/f.u.
Energy: -21.465 eV/cell